# 1
Compound: RbRh2Au2
Source: the Alexandria database
Functional: GGA-PBE
Structure: relaxed

Its formation energy is 26.8 kJ/mol of atoms.

a b c (Å): 8.383 8.383 2.827
angles (deg): 90.00 90.00 90.00
Last column: magnetic moment on the atom in μB.
Fractional coordinates of all 10 atoms:
Rh  0.890  0.610  0.000  0.26
Au  0.817  0.317  0.500  0.02
Rh  0.390  0.890  0.000  0.27
Rh  0.110  0.390  0.000  0.26
Au  0.683  0.817  0.500  0.02
Rh  0.610  0.110  0.000  0.27
Rb  0.500  0.500  0.000  0.00
Rb  0.000  0.000  0.000  0.00
Au  0.317  0.183  0.500  0.02
Au  0.183  0.683  0.500  0.02

---

# 2
Compound: AlZn3Br
Source: the Alexandria database
Functional: GGA-PBE
Structure: relaxed

The calculation puts the offset from the most stable computed form at 0.0000 eV per atom. The calculation puts the formation energy without anion corrections at 0.138 eV per atom.

a b c (Å): 4.986 4.986 4.986
angles (deg): 90.00 90.00 90.00
Fractional coordinates of all 5 atoms:
Zn  0.000  0.500  0.000
Br  0.500  0.500  0.500
Zn  0.000  0.000  0.500
Zn  0.500  0.000  0.000
Al  0.000  0.000  0.000

---

# 3
Compound: NdSmCoBr
Source: the Alexandria database
Functional: GGA-PBE
Structure: relaxed

The calculation puts the formation energy without anion corrections at -0.711 eV per atom.

a b c (Å): 3.956 3.956 8.164
angles (deg): 90.01 104.03 120.00
Fractional coordinates of all 4 atoms:
Co  0.305  0.551  0.871
Br  0.964  0.380  0.360
Nd  0.510  0.153  0.678
Sm  0.099  0.947  0.060

---

# 4
Compound: Tb4Pm7Nd
Source: the Alexandria database
Functional: GGA-PBE
Structure: relaxed

The calculation puts the offset from the most stable computed form at 0.0000 eV per atom. Its formation energy is 0.2 kJ/mol of atoms.

a b c (Å): 7.305 6.325 11.599
angles (deg): 79.54 50.94 90.00
Fractional coordinates of all 12 atoms:
Nd  0.000  0.000  0.000
Pm  0.917  0.721  0.335
Pm  0.747  0.500  0.001
Pm  0.083  0.279  0.665
Pm  0.666  0.222  0.334
Pm  0.253  0.500  0.999
Tb  0.586  0.278  0.666
Tb  0.834  0.780  0.666
Pm  0.500  0.000  0.000
Tb  0.166  0.220  0.334
Pm  0.334  0.778  0.666
Tb  0.414  0.722  0.334

---

# 5
Compound: FeRe2AgI
Source: the Alexandria database
Functional: GGA-PBE
Structure: relaxed

The calculation puts the formation energy without anion corrections at 2.567 eV per atom.

a b c (Å): 5.018 4.744 5.018
angles (deg): 90.00 90.00 90.00
Last column: magnetic moment on the atom in μB.
Fractional coordinates of all 5 atoms:
Ag  0.000  0.000  0.000  0.18
Re  0.500  0.000  0.000  2.35
Re  0.000  0.000  0.500  2.78
I  0.500  0.500  0.500  0.11
Fe  0.000  0.500  0.000  3.19

---

# 6
Compound: AcGa9Fe2
Source: the Alexandria database
Functional: GGA-PBE
Structure: relaxed

Its formation energy is -28.0 kJ/mol of atoms.

a b c (Å): 3.886 7.967 7.967
angles (deg): 120.00 90.00 90.00
Fractional coordinates of all 12 atoms:
Fe  0.000  0.333  0.667
Ac  0.000  0.000  0.000
Ga  0.500  0.418  0.209
Ga  0.500  0.209  0.791
Ga  0.000  0.500  0.000
Ga  0.000  0.500  0.500
Ga  0.500  0.791  0.209
Fe  0.000  0.667  0.333
Ga  0.000  0.000  0.500
Ga  0.500  0.209  0.418
Ga  0.500  0.791  0.582
Ga  0.500  0.582  0.791

---

# 7
Compound: Pm4MgZn2
Source: the Alexandria database
Functional: GGA-PBE
Structure: relaxed

The calculation puts the offset from the most stable computed form at 0.0000 eV per atom. Its formation energy is -11.2 kJ/mol of atoms.

a b c (Å): 5.199 5.199 8.797
angles (deg): 72.81 72.81 60.00
Fractional coordinates of all 7 atoms:
Mg  0.000  0.000  0.000
Pm  0.387  0.387  0.839
Pm  0.133  0.133  0.600
Pm  0.613  0.613  0.161
Zn  0.259  0.259  0.222
Zn  0.741  0.741  0.778
Pm  0.867  0.867  0.400

---

# 8
Compound: Ac2NiSn3Pd4
Source: the Alexandria database
Functional: GGA-PBE
Structure: relaxed

Its formation energy is -65.7 kJ/mol of atoms.

a b c (Å): 4.609 4.609 10.799
angles (deg): 90.00 90.00 90.00
Fractional coordinates of all 10 atoms:
Sn  0.500  0.000  0.873
Pd  0.000  0.000  0.000
Ni  0.500  0.500  0.500
Ac  0.500  0.000  0.261
Sn  0.000  0.500  0.127
Sn  0.000  0.000  0.500
Pd  0.500  0.000  0.626
Ac  0.000  0.500  0.739
Pd  0.000  0.500  0.374
Pd  0.500  0.500  0.000

---

# 9
Compound: Rb2SmHoS4
Source: the Alexandria database
Functional: GGA-PBE
Structure: relaxed

The calculation puts the formation energy without anion corrections at -1.844 eV per atom.

a b c (Å): 4.116 7.131 8.056
angles (deg): 107.14 90.00 90.00
Fractional coordinates of all 8 atoms:
S  0.500  0.225  0.192
Rb  0.000  0.500  0.500
S  0.000  0.263  0.806
Sm  0.500  0.500  0.000
S  0.000  0.737  0.194
Rb  0.500  0.000  0.500
Ho  0.000  0.000  0.000
S  0.500  0.775  0.808

---

# 10
Compound: Y3NbZn
Source: the Alexandria database
Functional: GGA-PBE
Structure: relaxed

The calculation puts the offset from the most stable computed form at 0.0000 eV per atom. Its formation energy is 61.2 kJ/mol of atoms.

a b c (Å): 5.413 5.413 5.413
angles (deg): 90.00 90.00 90.00
Fractional coordinates of all 5 atoms:
Y  0.000  0.500  0.000
Zn  0.500  0.500  0.500
Nb  0.000  0.000  0.000
Y  0.500  0.000  0.000
Y  0.000  0.000  0.500

---

# 11
Compound: AlTcIrRu
Source: the Alexandria database
Functional: GGA-PBE
Structure: relaxed

Its formation energy is -12.0 kJ/mol of atoms.

a b c (Å): 4.355 4.355 4.355
angles (deg): 60.00 60.00 60.00
Last column: magnetic moment on the atom in μB.
Fractional coordinates of all 4 atoms:
Tc  0.000  0.000  0.000  1.63
Ir  0.750  0.750  0.750  0.46
Al  0.500  0.500  0.500  0.00
Ru  0.250  0.250  0.250  0.49

---

# 12
Compound: Na5Hg2Pb4
Source: the Alexandria database
Functional: GGA-PBE
Structure: relaxed

Its formation energy is -14.2 kJ/mol of atoms.

a b c (Å): 4.903 7.493 17.433
angles (deg): 90.00 90.00 90.00
Fractional coordinates of all 22 atoms:
Na  0.000  0.687  0.698
Pb  0.500  0.288  0.956
Na  0.000  0.903  0.412
Pb  0.500  0.212  0.456
Pb  0.500  0.104  0.131
Pb  0.500  0.604  0.369
Na  0.000  0.000  0.000
Hg  0.500  0.996  0.701
Na  0.000  0.403  0.088
Na  0.000  0.597  0.912
Pb  0.500  0.396  0.631
Hg  0.500  0.504  0.201
Pb  0.500  0.712  0.044
Na  0.000  0.813  0.198
Pb  0.500  0.788  0.544
Hg  0.500  0.496  0.799
Na  0.000  0.500  0.500
Hg  0.500  0.004  0.299
Na  0.000  0.097  0.588
Pb  0.500  0.896  0.869
Na  0.000  0.313  0.302
Na  0.000  0.187  0.802

---

Calculated calculated volume in order - 198.7 124.0 106.2 404.6 119.4 213.6 193.6 229.4 226.0 158.6 58.4 640.4 Å³ per cell